Li2Ac3Sn7 | GGA-PBE | relaxed

a = 4.800 Å, b = 4.768 Å, c = 14.888 Å
α = 99.22°, β = 90.00°, γ = 90.00°
Element x y z (fractional)
Sn  0.000  0.000  0.000
Sn  0.500  0.087  0.174
Sn  0.500  0.913  0.826
Sn  0.000  0.413  0.826
Sn  0.000  0.778  0.556
Sn  0.000  0.587  0.174
Sn  0.000  0.222  0.444
Ac  0.500  0.679  0.359
Ac  0.500  0.500  0.000
Ac  0.500  0.321  0.641
Li  0.000  0.134  0.268
Li  0.000  0.866  0.732

Properties
Formation enthalpy at 0 K (meV per atom): -554
SG: Cmmm, No. 65
Electronic total energy (eV/atom): -4.2351
ΔE to the lowest computed polymorph (eV per atom): 0.009